BaCrPb2 | Alexandria | PBE-GGA | relaxed; SG = No. 99; magnetization = 4.57 μB/cell; V = 32.0 Å³/atom; calculated formation energy = 0.227 eV/atom
1.0
-2.2220 -0.4825 3.3038
3.3245 0.0471 2.2428
-0.6115 7.8887 0.7407
Ba Cr Pb
1 1 2
Cartesian
-0.3120 4.0246 0.3779
0.0470 6.2877 3.3842
-0.5889 7.5964 0.7133
0.4276 1.3777 2.9231

=====

BaCrPb2 | Alexandria | PBE-GGA | relaxed; SG = No. 10; magnetization = 3.81 μB/cell; V = 29.5 Å³/atom; calculated formation energy = 0.086 eV/atom
1.0
3.9867 0.0000 0.0000
0.0000 3.6795 0.0219
0.0000 3.6190 8.0730
Ba Cr Pb
1 1 2
Cartesian
1.9933 1.8246 2.0237
1.9933 5.4739 6.0712
0.0000 3.6195 7.6337
0.0000 3.6488 4.4868

=====

BaCrPb2 | Alexandria | PBE-GGA | relaxed; SG = No. 8; magnetization = 4.09 μB/cell; V = 33.5 Å³/atom; calculated formation energy = 0.069 eV/atom
1.0
-4.0193 -2.6827 0.1383
0.2619 -4.6711 1.2177
-2.1034 -0.8371 6.8008
Ba Cr Pb
1 1 2
Cartesian
-2.9108 -4.1298 3.9375
-1.2777 -2.4052 0.6370
-3.8779 -7.1217 2.2617
-4.4820 -5.9833 6.7549

=====

BaCr4Pb | Alexandria | PBE-GGA | relaxed; SG = No. 216; magnetization = 2.36 μB/cell; V = 19.6 Å³/atom; calculated formation energy = 0.983 eV/atom
1.0
0.0000 3.8902 3.8902
3.8902 0.0000 3.8902
3.8902 3.8902 0.0000
Ba Cr Pb
1 4 1
Cartesian
0.0000 0.0000 0.0000
3.0780 4.7024 4.7024
4.7024 4.7024 3.0780
4.7024 3.0780 4.7024
3.0780 3.0780 3.0780
5.8353 5.8353 5.8353

=====

BaCrPb2 | Alexandria | PBE-GGA | relaxed; SG = No. 65; magnetization = 4.43 μB/cell; V = 31.5 Å³/atom; calculated formation energy = 0.259 eV/atom
1.0
6.0477 0.2519 0.0000
-2.3101 5.5948 0.0000
0.0000 0.0000 3.6583
Ba Cr Pb
1 1 2
Cartesian
3.0239 0.1260 1.8292
-1.1551 2.7974 1.8292
0.0000 0.0000 0.0000
1.8688 2.9233 0.0000

=====

BaCrPb2 | Alexandria | PBE-GGA | relaxed; SG = No. 44; magnetization = 4.57 μB/cell; V = 33.7 Å³/atom; calculated formation energy = 0.132 eV/atom
1.0
7.1299 -0.0230 0.0022
4.1647 5.7873 -0.0022
-5.6765 -2.8249 3.2610
Ba Cr Pb
1 1 2
Cartesian
6.0110 3.0677 0.0000
3.9650 0.2287 1.6316
10.4500 5.3332 0.0000
2.1341 2.9561 1.6294

=====

BaCrPb2 | Alexandria | PBE-GGA | relaxed; SG = No. 71; magnetization = 4.19 μB/cell; V = 31.5 Å³/atom; calculated formation energy = 0.169 eV/atom
1.0
-1.2946 -3.2969 5.4108
-2.1025 -5.9823 -1.2704
4.9356 4.1463 -0.5199
Ba Cr Pb
1 1 2
Cartesian
0.5673 -3.2378 0.1399
0.9713 -1.8951 3.4805
-3.2800 -8.9595 3.9977
-1.8156 -4.9593 2.2129

=====

BaCrPbSe2 | Alexandria | PBE-GGA | relaxed; SG = No. 123; magnetization = 0.00 μB/cell; E_form (uncorrected) = 0.048 eV per atom; V = 26.6 Å³/atom
1.0
-3.9128 2.6637 -1.2436
-1.8888 -4.2112 -3.0771
-2.4217 -1.7471 3.8775
Pb Cr Ba Se
1 1 1 2
Cartesian
-4.1117 -1.6473 -0.2216
0.0000 0.0000 0.0000
-0.9444 -2.1056 -1.5386
-1.2109 -0.8736 1.9387
-1.9564 1.3318 -0.6218

=====

BaCr2TcPb | Alexandria | PBE-GGA | relaxed; SG = No. 123; magnetization = 11.59 μB/cell; V = 33.6 Å³/atom; calculated formation energy = 2.575 eV/atom
1.0
-0.2590 -4.9178 1.8132
5.7251 0.4476 2.0318
-1.7736 1.7905 4.6030
Pb Cr Ba Tc
1 2 1 1
Cartesian
2.8626 0.2238 1.0159
-0.8868 0.8953 2.3015
-0.1295 -2.4589 0.9066
0.0000 0.0000 0.0000
1.8463 -1.3398 4.2240

=====

BaTl2CrPb | Alexandria | PBE-GGA | relaxed; SG = No. 123; magnetization = 4.17 μB/cell; V = 34.6 Å³/atom; calculated formation energy = 0.333 eV/atom
1.0
5.3667 0.0000 0.0000
0.0000 5.9984 0.0000
0.0000 0.0000 5.3667
Pb Cr Tl Ba
1 1 2 1
Cartesian
2.6834 2.9992 2.6834
0.0000 0.0000 0.0000
0.0000 0.0000 2.6834
2.6834 0.0000 0.0000
0.0000 2.9992 0.0000

=====

BaCrPd | Alexandria | PBE-GGA | relaxed; SG = No. 8; excess energy over the best structure of this formula in the dataset = 0.0609 eV/atom; magnetization = 8.23 μB/cell; V = 29.7 Å³/atom; calculated formation energy = 0.147 eV/atom
1.0
-0.4547 4.6187 0.1753
-0.3016 -2.2126 -4.0749
-9.8678 3.6416 1.3970
Cr Ba Pd
2 2 2
Cartesian
-9.9278 2.5347 -1.1628
-0.8840 1.1942 -3.7509
-3.0913 0.8667 -0.7562
-7.0682 0.5572 -2.9433
-5.2815 3.0242 -1.7649
-9.7617 4.8358 0.2233

=====

BaCrPd | Alexandria | PBE-GGA | relaxed; SG = No. 129; excess energy over the best structure of this formula in the dataset = 0.2775 eV/atom; magnetization = 0.01 μB/cell; V = 26.3 Å³/atom; calculated formation energy = 0.363 eV/atom
1.0
-1.0732 -2.3695 2.6776
2.6593 -2.3976 -1.0559
7.2544 4.8684 7.2158
Cr Ba Pd
2 2 2
Cartesian
0.0000 0.0000 0.0000
0.7931 -2.3836 0.8108
3.6021 0.3262 1.7324
4.4454 2.1586 6.2942
7.4278 2.8936 5.5377
0.6197 -0.4088 2.4889